*a*
The following is a DFT calculation (PBE) of La2ScCu after structural relaxation.

```
La2ScCu
1.0
4.559 0.000 0.000
0.000 4.559 0.000
0.000 0.000 10.197
La Sc Cu
4 2 2
Direct
0.000 0.000 0.000
0.000 0.500 0.250
0.500 0.000 0.750
0.500 0.500 0.500
0.000 0.500 0.750
0.500 0.000 0.250
0.000 0.000 0.500
0.500 0.500 0.000
```

Properties
* space group: I-4m2


*b*
The following is a DFT calculation (PBE) of La2ScCu after structural relaxation.

```
La2ScCu
1.0
3.688 0.000 0.000
-1.844 3.194 0.000
0.000 0.000 29.236
La Sc Cu
6 3 3
Direct
0.000 0.000 0.240
0.000 0.000 0.760
0.333 0.667 0.427
0.333 0.667 0.907
0.667 0.333 0.093
0.667 0.333 0.573
0.000 0.000 0.000
0.333 0.667 0.667
0.667 0.333 0.333
0.000 0.000 0.500
0.333 0.667 0.167
0.667 0.333 0.833
```

Properties
* space group: R-3m


*c*
The following is a DFT calculation (PBE) of La2ScCu after structural relaxation.

```
La2ScCu
1.0
3.501 0.000 0.000
0.000 3.501 0.000
0.000 0.000 8.818
La Sc Cu
2 1 1
Direct
0.000 0.000 0.000
0.500 0.500 0.334
0.000 0.000 0.624
0.500 0.500 0.770
```

Properties
* space group: P4mm


*d*
The following is a DFT calculation (PBE) of La2ScCu after structural relaxation.

```
La2ScCu
1.0
3.562 0.000 0.000
0.000 5.124 0.000
0.000 0.000 11.790
La Sc Cu
4 2 2
Direct
0.000 0.000 0.203
0.000 0.000 0.797
0.500 0.500 0.297
0.500 0.500 0.703
0.000 0.500 0.000
0.500 0.000 0.500
0.000 0.500 0.500
0.500 0.000 0.000
```

Properties
* space group: Immm


Stability check: which of them is least stable? *a*.


*a*
The following is a DFT calculation (PBE) of La2ScCu after structural relaxation.

```
La2ScCu
1.0
3.600 0.000 0.000
0.000 5.350 0.000
0.000 0.000 5.418
La Sc Cu
2 1 1
Direct
0.000 0.000 0.000
0.500 0.000 0.500
0.000 0.500 0.500
0.500 0.500 0.000
```

Properties
* space group: Pmmm


*b*
The following is a DFT calculation (PBE) of La2ScCu after structural relaxation.

```
La2ScCu
1.0
8.577 0.000 0.000
0.000 8.577 0.000
0.000 0.000 6.219
La Sc Cu
8 4 4
Direct
0.197 0.250 0.125
0.250 0.697 0.375
0.250 0.803 0.875
0.303 0.250 0.625
0.697 0.750 0.625
0.750 0.197 0.875
0.750 0.303 0.375
0.803 0.750 0.125
0.000 0.000 0.500
0.000 0.500 0.750
0.500 0.000 0.250
0.500 0.500 0.000
0.000 0.000 0.000
0.000 0.500 0.250
0.500 0.000 0.750
0.500 0.500 0.500
```

Properties
* space group: I-42d


Stability check: which of them is least stable? *a*.


*a*
The following is a DFT calculation (PBE) of La2ScCu after structural relaxation.

```
La2ScCu
1.0
4.839 0.000 0.000
0.000 4.839 0.000
0.000 0.000 9.080
La Sc Cu
4 2 2
Direct
0.000 0.500 0.250
0.000 0.500 0.750
0.500 0.000 0.250
0.500 0.000 0.750
0.000 0.000 0.000
0.500 0.500 0.500
0.000 0.000 0.500
0.500 0.500 0.000
```

Properties
* space group: I4/mmm


*b*
The following is a DFT calculation (PBE) of La2ScCu after structural relaxation.

```
La2ScCu
1.0
3.682 0.000 0.000
0.000 4.918 0.000
-1.819 0.000 6.110
La Sc Cu
2 1 1
Direct
0.000 0.000 0.000
0.311 0.500 0.625
0.596 0.500 0.193
0.713 0.000 0.431
```

Properties
* space group: Pm


Stability check: which of them is least stable? *a*.


*a*
The following is a DFT calculation (PBE) of La2ScCu after structural relaxation.

```
La2ScCu
1.0
12.396 0.000 0.000
0.000 3.611 0.000
-2.349 0.000 4.859
La Sc Cu
4 2 2
Direct
0.000 0.000 0.000
0.208 0.000 0.708
0.500 0.500 0.000
0.708 0.500 0.708
0.415 0.000 0.415
0.915 0.500 0.415
0.235 0.500 0.236
0.735 0.000 0.236
```

Properties
* space group: Cm


*b*
The following is a DFT calculation (PBE) of La2ScCu after structural relaxation.

```
La2ScCu
1.0
7.410 0.000 0.000
0.000 7.410 0.000
0.000 0.000 7.410
La Sc Cu
8 4 4
Direct
0.000 0.000 0.000
0.000 0.500 0.500
0.250 0.250 0.250
0.250 0.750 0.750
0.500 0.000 0.500
0.500 0.500 0.000
0.750 0.250 0.750
0.750 0.750 0.250
0.000 0.000 0.500
0.000 0.500 0.000
0.500 0.000 0.000
0.500 0.500 0.500
0.250 0.250 0.750
0.250 0.750 0.250
0.750 0.250 0.250
0.750 0.750 0.750
```

Properties
* space group: F-43m


*c*
The following is a DFT calculation (PBE) of La2ScCu after structural relaxation.

```
La2ScCu
1.0
7.758 0.000 0.000
0.000 7.775 0.000
0.000 0.000 3.613
La Sc Cu
4 2 2
Direct
0.250 0.250 0.000
0.250 0.750 0.000
0.750 0.250 0.000
0.750 0.750 0.000
0.000 0.000 0.500
0.500 0.500 0.500
0.000 0.500 0.500
0.500 0.000 0.500
```

Properties
* space group: Cmmm


Stability check: which of them is least stable? *b*.